10
Lattice="-4.078 -2.913 -4.933 5.409 0.039 -4.495 0.831 -2.816 0.976" Properties=species:S:1:pos:R:3 comment="TlCu2Rh2 (PBE-GGA, optimized geometry)" relative_energy_ev_per_atom=0.0158 total_magnetization_mub_per_cell=0.00 rho_g_cm3=11.66 ef_ev_per_atom=0.23 spacegroup=P4/mbm pbc="T T T"
Rh -0.027 -2.368 -1.905
Cu 3.203 -1.057 -5.780
Rh 3.344 -1.872 -3.346
Tl 0.000 0.000 0.000
Cu -1.873 -1.817 -3.648
Tl 0.665 -1.437 -4.714
Rh 2.189 -3.322 -6.547
Cu -0.185 -2.523 -7.126
Rh -1.182 -3.818 -5.106
Cu 1.516 -0.350 -2.302



4
Lattice="-1.451 4.383 -2.643 -4.888 1.999 0.645 -0.676 4.582 2.617" Properties=species:S:1:pos:R:3 comment="NaCeCd2 (PBE-GGA, optimized geometry)" relative_energy_ev_per_atom=0.0220 total_magnetization_mub_per_cell=1.03 rho_g_cm3=6.05 ef_ev_per_atom=-0.08 spacegroup=Fm-3m pbc="T T T"
Cd -1.754 2.741 0.155
Ce -3.507 5.482 0.310
Cd -5.261 8.224 0.464
Na 0.000 0.000 0.000



12
Lattice="7.268 0.178 1.105 1.786 6.164 3.594 0.123 0.067 7.352" Properties=species:S:1:pos:R:3 comment="Nd5HoAs6 (PBE-GGA, optimized geometry)" total_magnetization_mub_per_cell=0.00 rho_g_cm3=6.83 ef_ev_per_atom=-1.51 spacegroup=C2/m pbc="T T T"
As 2.235 1.557 1.155
As 2.884 3.703 4.804
As 6.820 4.786 3.543
Nd 5.162 5.241 6.010
Ho 0.000 0.000 0.000
As 6.294 2.705 7.247
As 5.666 0.661 3.538
As 3.512 5.748 8.513
Nd 0.637 2.079 3.645
Nd 1.272 4.152 7.301
Nd 4.527 3.171 2.349
Nd 4.015 1.167 6.041



10
Lattice="4.878 0.000 2.588 1.752 4.552 2.588 -0.020 -0.014 5.927" Properties=species:S:1:pos:R:3 comment="Ta6BC3 (PBE-GGA, optimized geometry)" total_magnetization_mub_per_cell=0.00 rho_g_cm3=14.25 ef_ev_per_atom=-0.55 spacegroup=R3 pbc="T T T"
Ta 1.100 1.894 5.743
C 2.232 1.533 7.573
Ta 3.227 1.169 3.617
C 1.048 0.719 3.916
Ta 2.870 4.200 4.532
C 4.390 3.014 3.507
Ta 3.342 3.409 7.485
Ta 5.498 2.592 5.340
Ta 3.786 0.346 6.605
B 5.556 3.815 7.200



8
Lattice="-0.197 -1.858 3.625 4.067 0.107 0.276 1.441 7.263 6.095" Properties=species:S:1:pos:R:3 comment="NaVOs2 (PBE-GGA, optimized geometry)" relative_energy_ev_per_atom=0.5515 total_magnetization_mub_per_cell=4.06 rho_g_cm3=9.92 ef_ev_per_atom=1.23 spacegroup=I-42d pbc="T T T"
Os 4.860 3.926 8.011
Os 2.138 4.781 6.007
Na 1.935 -0.876 1.950
Na 3.722 3.247 4.160
Os 2.897 1.830 1.799
Os 0.726 0.488 4.174
V 0.000 0.000 0.000
V 1.589 2.265 5.835



6
Lattice="-4.325 1.406 -2.037 -3.295 -3.437 -1.472 -4.256 -0.611 2.519" Properties=species:S:1:pos:R:3 comment="HoNi4Sn (PBE-GGA, optimized geometry)" total_magnetization_mub_per_cell=0.00 rho_g_cm3=9.84 ef_ev_per_atom=-0.39 spacegroup=F-43m pbc="T T T"
Sn 0.000 0.000 0.000
Ni -5.258 -2.358 0.402
Ni -7.427 -1.653 -0.619
Ni -5.293 -1.346 -1.883
Ho -2.969 -0.661 -0.248
Ni -5.775 0.071 0.119



4
Lattice="8.155 -1.694 0.000 8.155 1.694 0.000 7.803 0.000 2.914" Properties=species:S:1:pos:R:3 comment="Sc2MoP (PBE-GGA, optimized geometry)" total_magnetization_mub_per_cell=0.29 rho_g_cm3=4.47 ef_ev_per_atom=-0.34 spacegroup=R3m pbc="T T T"
Mo 12.553 0.000 1.517
Sc 23.536 0.000 2.844
Sc 18.358 0.000 2.219
P 5.838 0.000 0.706



4
Lattice="3.053 0.005 0.000 -0.005 3.053 0.000 0.000 0.000 8.406" Properties=species:S:1:pos:R:3 comment="ZrAs2Ru (PBE-GGA, optimized geometry)" relative_energy_ev_per_atom=0.2304 total_magnetization_mub_per_cell=0.00 rho_g_cm3=7.25 ef_ev_per_atom=-0.37 spacegroup=P4mm pbc="T T T"
Zr 1.524 1.529 6.082
Ru 0.000 0.000 4.077
As 0.000 0.000 8.080
As 1.524 1.529 2.777